{"formula": "Ir2PtCl", "functional": "PBE", "state": "relaxed", "cell": [[-2.718, -3.428, 1.536], [1.634, -1.889, -1.325], [2.712, -0.389, 3.931]], "species": ["Cl", "Ir", "Ir", "Pt"], "frac_coords": [[0.500, 0.750, 0.750], [0.000, 0.498, 0.498], [0.000, 0.002, 0.002], [0.500, 0.250, 0.250]], "sg": "P2/m (10)", "e_tot_ev_per_fu": -22.4}

=====

{"formula": "InRe2Au", "functional": "PBE", "state": "relaxed", "cell": [[-1.434, 1.446, -1.896], [0.160, -2.695, -0.672], [-8.018, -1.669, 4.790]], "species": ["Re", "Re", "Au", "In"], "frac_coords": [[0.000, 0.000, 0.999], [0.000, 0.000, 0.501], [0.500, 0.500, 0.250], [0.500, 0.500, 0.750]], "sg": "Cmmm (65)", "formation_energy_ev_per_atom": 0.7666}

=====

{"formula": "CaSi2SnO6", "functional": "PBE", "state": "relaxed", "cell": [[-1.273, -3.432, -4.136], [9.243, -0.396, -2.515], [2.717, -16.098, 12.523]], "species": ["O", "O", "O", "O", "O", "O", "O", "O", "O", "O", "O", "O", "O", "O", "O", "O", "O", "O", "O", "O", "O", "O", "O", "O", "O", "O", "O", "O", "O", "O", "O", "O", "O", "O", "O", "O", "O", "O", "O", "O", "O", "O", "O", "O", "O", "O", "O", "O", "Sn", "Sn", "Sn", "Sn", "Sn", "Sn", "Sn", "Sn", "Si", "Si", "Si", "Si", "Si", "Si", "Si", "Si", "Si", "Si", "Si", "Si", "Si", "Si", "Si", "Si", "Ca", "Ca", "Ca", "Ca", "Ca", "Ca", "Ca", "Ca"], "frac_coords": [[0.736, 0.261, 0.279], [0.271, 0.522, 0.555], [0.493, 0.859, 0.818], [0.236, 0.239, 0.279], [0.966, 0.232, 0.970], [0.507, 0.641, 0.318], [0.729, 0.978, 0.055], [0.229, 0.022, 0.445], [0.977, 0.021, 0.805], [0.264, 0.739, 0.721], [0.477, 0.479, 0.805], [0.236, 0.739, 0.221], [0.771, 0.478, 0.945], [0.977, 0.521, 0.695], [0.764, 0.858, 0.932], [0.534, 0.732, 0.030], [0.007, 0.859, 0.318], [0.736, 0.858, 0.432], [0.534, 0.232, 0.470], [0.523, 0.021, 0.305], [0.229, 0.522, 0.055], [0.771, 0.978, 0.555], [0.023, 0.479, 0.305], [0.023, 0.979, 0.195], [0.993, 0.141, 0.682], [0.736, 0.761, 0.221], [0.736, 0.358, 0.068], [0.466, 0.768, 0.530], [0.034, 0.768, 0.030], [0.236, 0.642, 0.432], [0.764, 0.761, 0.721], [0.507, 0.141, 0.182], [0.764, 0.261, 0.779], [0.236, 0.142, 0.068], [0.993, 0.641, 0.818], [0.034, 0.268, 0.470], [0.523, 0.521, 0.195], [0.477, 0.979, 0.695], [0.966, 0.732, 0.530], [0.264, 0.239, 0.779], [0.466, 0.268, 0.970], [0.007, 0.359, 0.182], [0.729, 0.478, 0.445], [0.271, 0.022, 0.945], [0.264, 0.642, 0.932], [0.764, 0.358, 0.568], [0.493, 0.359, 0.682], [0.264, 0.142, 0.568], [0.628, 0.549, 0.624], [0.372, 0.451, 0.376], [0.128, 0.951, 0.624], [0.872, 0.549, 0.124], [0.372, 0.951, 0.124], [0.872, 0.049, 0.376], [0.128, 0.451, 0.876], [0.628, 0.049, 0.876], [0.235, 0.160, 0.988], [0.997, 0.340, 0.262], [0.503, 0.340, 0.762], [0.265, 0.160, 0.488], [0.235, 0.660, 0.512], [0.735, 0.840, 0.512], [0.503, 0.840, 0.738], [0.497, 0.160, 0.262], [0.003, 0.660, 0.738], [0.765, 0.340, 0.488], [0.003, 0.160, 0.762], [0.997, 0.840, 0.238], [0.265, 0.660, 0.012], [0.497, 0.660, 0.238], [0.765, 0.840, 0.012], [0.735, 0.340, 0.988], [0.628, 0.143, 0.625], [0.372, 0.357, 0.125], [0.128, 0.357, 0.625], [0.628, 0.643, 0.875], [0.872, 0.143, 0.125], [0.372, 0.857, 0.375], [0.128, 0.857, 0.875], [0.872, 0.643, 0.375]], "sg": "Pbca (61)", "e_tot_ev_per_fu": -72.0}

=====

{"formula": "BaNaAu2O", "functional": "PBE", "state": "relaxed", "cell": [[-1.132, 5.767, -1.247], [-2.617, -3.300, -12.891], [-5.785, -0.835, 1.388]], "species": ["O", "Au", "Au", "Ba", "Na"], "frac_coords": [[0.500, 0.500, 0.500], [0.500, 0.000, 0.000], [0.000, 0.000, 0.500], [0.000, 0.000, 0.000], [0.000, 0.500, 0.000]], "sg": "P4/mmm (123)", "e_tot_ev_per_fu": -12.2}

=====

{"formula": "GeMoI2N", "functional": "PBE", "state": "relaxed", "cell": [[5.899, 0.000, 0.000], [0.000, 5.899, 0.000], [0.000, 0.000, 3.580]], "species": ["Mo", "N", "I", "I", "Ge"], "frac_coords": [[0.500, 0.500, 0.500], [0.000, 0.000, 0.500], [0.000, 0.500, 0.000], [0.500, 0.000, 0.000], [0.000, 0.000, 0.000]], "sg": "P4/mmm (123)", "e_tot_ev_per_fu": -21.1}

=====

{"formula": "Sc2MnAl", "functional": "PBE", "state": "relaxed", "cell": [[-3.125, 0.519, -4.595], [-1.986, -2.375, -4.644], [-4.493, -1.782, 0.726]], "species": ["Al", "Sc", "Sc", "Mn"], "frac_coords": [[0.527, 0.527, 0.512], [0.977, 0.977, 0.050], [0.768, 0.768, 0.709], [0.227, 0.227, 0.228]], "sg": "Cm (8)", "formation_energy_ev_per_atom": -0.1443}

=====

no.,M_tot (Bohr magnetons per cell),ρ (kg/m³)
1,0.0,16257
2,0.0,16642
3,0.0,3791
4,1.0,1935
5,4.5,5817
6,2.4,3775